No. 1
First-principles (PBE-GGA) data for an optimized crystal structure of HgAsCl2, as listed in Alexandria.

The structure in POSCAR format:
```
HgAsCl2
1.0
-1.861 3.717 4.507
1.861 -3.717 4.507
1.861 3.717 -4.507
Hg As Cl
1 1 2
Direct
0.000 0.000 0.000
0.226 0.726 0.500
0.419 0.419 0.000
0.792 0.292 0.500
```

Results
As for the space-group type: Imm2, No. 44. The formation energy (no corrections) comes out at -40 kJ/mol of formula units.



No. 2
First-principles (PBE-GGA) data for an optimized crystal structure of Hg2AsCl, as listed in Alexandria.

The structure in POSCAR format:
```
Hg2AsCl
1.0
1.615 -2.885 0.000
1.615 2.885 0.000
0.000 0.000 10.472
Hg As Cl
2 1 1
Direct
0.000 0.000 0.000
0.500 0.500 0.278
0.000 0.000 0.528
0.500 0.500 0.718
```

Results
As for the space-group type: Cmm2, No. 35. The formation energy (no corrections) comes out at 52 kJ/mol of formula units.



No. 3
First-principles (PBE-GGA) data for an optimized crystal structure of Hg2AsCl, as listed in Alexandria.

The structure in POSCAR format:
```
Hg2AsCl
1.0
7.803 -1.973 0.000
7.803 1.973 0.000
-0.987 0.000 3.939
Hg As Cl
2 1 1
Direct
0.000 0.000 0.000
0.672 0.672 0.676
0.504 0.504 0.503
0.288 0.288 0.811
```

Results
As for the space-group type: Cm, No. 8. The formation energy (no corrections) comes out at -58 kJ/mol of formula units.



Among the records above, which one has the highest formation energy (no corrections)?
number 2